1.
This record from the Alexandria database describes a geometry-optimized LiHfZrMn structure. The functional is PBE-GGA.

## Properties
theoretical density	8.275	Mg/m³
space-group type	No. 216
raw total energy	-7.37	eV/atom
crystal system	cubic

POSCAR file:
```
LiHfZrMn
1.0
-1.103 4.385 0.497
-3.036 1.238 3.153
1.358 2.282 3.692
Li Hf Mn Zr
1 1 1 1
Cartesian
-1.390 3.953 3.671
-2.085 5.929 5.507
0.000 0.000 0.000
-0.695 1.976 1.836
```

2.
This record from the Alexandria database describes a geometry-optimized ErLuScOs structure. The functional is PBE-GGA.

## Properties
theoretical density	11.110	Mg/m³
space-group type	No. 216
raw total energy	-6.72	eV/atom
crystal system	cubic

POSCAR file:
```
ErLuScOs
1.0
4.960 0.000 0.000
2.480 4.296 0.000
2.480 1.432 4.050
Os Er Sc Lu
1 1 1 1
Cartesian
4.960 2.864 2.025
7.441 4.296 3.038
0.000 0.000 0.000
2.480 1.432 1.013
```

3.
This record from the Alexandria database describes a geometry-optimized Pm2Hg5Pd3 structure. The functional is PBE-GGA.

## Properties
theoretical density	11.849	Mg/m³
space-group type	No. 15
raw total energy	-3.06	eV/atom
crystal system	monoclinic

POSCAR file:
```
Pm2Hg5Pd3
1.0
-2.687 4.158 3.055
-9.928 0.342 -0.569
-1.601 -1.787 9.650
Pd Hg Pm
6 10 4
Cartesian
-6.970 -0.054 8.124
-11.864 3.441 1.820
-2.352 -0.727 10.317
-10.661 2.624 6.767
-3.555 0.089 5.370
-7.245 2.768 4.013
-9.625 0.171 8.907
-9.046 3.052 1.961
-11.963 2.501 9.217
-7.782 2.398 6.827
-4.590 2.542 3.230
-6.434 0.315 5.310
-1.939 -0.501 7.509
-2.253 0.212 2.920
-5.170 -0.339 10.175
-12.277 3.214 4.628
-9.704 1.012 4.437
-7.542 2.194 10.270
-6.674 0.520 1.867
-4.512 1.702 7.700
```

Number 1: calculated volume 66.5 Å³ per cell. Number 2: calculated volume 86.3 Å³ per cell. Number 3: calculated volume 451.9 Å³ per cell.